1.
Here is a relaxed SrTa2Os crystal from Alexandria via LeMat-Bulk. Energies are from PBE.

Its formation energy from the elements is 0.893 eV per atom. The energy above the most stable polymorph in this dataset is 544.5 meV per atom. As for the total energy: -33.05 eV per formula unit.

It has space group Pmmm (No. 47), with a = 3.214 Å, b = 4.870 Å, c = 4.973 Å, α = 90.00°, β = 90.00° and γ = 90.00°. The asymmetric unit holds Sr at (0.000, 0.000, 0.000), Ta at (0.000, 0.500, 0.500), Ta at (0.500, 0.500, 0.000) and Os at (0.500, 0.000, 0.500).

=====

2.
Here is a relaxed SrTa2Os crystal from Alexandria via LeMat-Bulk. Energies are from PBE.

Its formation energy from the elements is 0.348 eV per atom. The energy above the most stable polymorph in this dataset is 0.0 meV per atom. As for the total energy: -35.22 eV per formula unit.

It has space group P4mm (No. 99), with a = 3.171 Å, b = 3.171 Å, c = 8.680 Å, α = 90.00°, β = 90.00° and γ = 90.00°. The asymmetric unit holds Sr at (0.000, 0.000, 0.000), Ta at (0.000, 0.000, 0.569), Ta at (0.500, 0.500, 0.352) and Os at (0.500, 0.500, 0.730).

=====

3.
Here is a relaxed Sr2TaOs crystal from Alexandria via LeMat-Bulk. Energies are from PBE.

Its formation energy from the elements is 1.093 eV per atom. The energy above the most stable polymorph in this dataset is 833.6 meV per atom. As for the total energy: -22.07 eV per formula unit.

It has space group C2/m (No. 12), with a = 5.741 Å, b = 10.665 Å, c = 3.001 Å, α = 90.00°, β = 90.32° and γ = 90.00°. The asymmetric unit holds Sr at (0.250, 0.250, 0.000), Ta at (0.000, 0.000, 0.500) and Os at (0.000, 0.500, 0.500).

=====

4.
Here is a relaxed SrTaOs2 crystal from Alexandria via LeMat-Bulk. Energies are from PBE.

Its formation energy from the elements is 1.043 eV per atom. As for the total energy: -31.82 eV per formula unit.

It has space group I-4m2 (No. 119), with a = 3.997 Å, b = 3.997 Å, c = 9.386 Å, α = 90.00°, β = 90.00° and γ = 90.00°. The asymmetric unit holds Sr at (0.000, 0.000, 0.000), Ta at (0.000, 0.500, 0.750), Os at (0.000, 0.000, 0.500) and Os at (0.000, 0.500, 0.250).

=====

5.
Here is a relaxed SrTaOs crystal from Alexandria via LeMat-Bulk. Energies are from PBE.

Its formation energy from the elements is 0.868 eV per atom. The energy above the most stable polymorph in this dataset is 526.4 meV per atom. As for the total energy: -22.16 eV per formula unit.

It has space group F-43m (No. 216), with a = 6.569 Å, b = 6.569 Å, c = 6.569 Å, α = 90.00°, β = 90.00° and γ = 90.00°. The asymmetric unit holds Sr at (0.000, 0.000, 0.000), Ta at (0.000, 0.000, 0.500) and Os at (0.250, 0.250, 0.250).

=====

6.
Here is a relaxed Sr2TaOs crystal from Alexandria via LeMat-Bulk. Energies are from PBE.

Its formation energy from the elements is 0.291 eV per atom. The energy above the most stable polymorph in this dataset is 31.4 meV per atom. As for the total energy: -25.28 eV per formula unit.

It has space group Pm (No. 6), with a = 3.535 Å, b = 3.526 Å, c = 9.602 Å, α = 90.00°, β = 90.10° and γ = 90.00°. The asymmetric unit holds Sr at (0.000, 0.000, 0.000), Sr at (0.498, 0.500, 0.394), Ta at (0.999, 0.000, 0.662) and Os at (0.500, 0.500, 0.745).

=====

7.
Here is a relaxed Sr2TaOs crystal from Alexandria via LeMat-Bulk. Energies are from PBE.

Its formation energy from the elements is 0.963 eV per atom. The energy above the most stable polymorph in this dataset is 703.3 meV per atom. As for the total energy: -22.59 eV per formula unit.

It has space group P4/mmm (No. 123), with a = 4.078 Å, b = 4.078 Å, c = 5.452 Å, α = 90.00°, β = 90.00° and γ = 90.00°. The asymmetric unit holds Sr at (0.000, 0.500, 0.000), Ta at (0.000, 0.000, 0.500) and Os at (0.500, 0.500, 0.500).

=====

8.
Here is a relaxed SrTaOs2 crystal from Alexandria via LeMat-Bulk. Energies are from PBE.

Its formation energy from the elements is 0.683 eV per atom. As for the total energy: -33.26 eV per formula unit.

It has space group P4/mmm (No. 123), with a = 4.767 Å, b = 4.767 Å, c = 3.252 Å, α = 90.00°, β = 90.00° and γ = 90.00°. The asymmetric unit holds Sr at (0.000, 0.000, 0.000), Ta at (0.500, 0.500, 0.000) and Os at (0.000, 0.500, 0.500).

=====

9.
Here is a relaxed SrTa2Os2 crystal from Alexandria via LeMat-Bulk. Energies are from PBE.

Its formation energy from the elements is -0.111 eV per atom. The energy above the most stable polymorph in this dataset is 0.0 meV per atom. As for the total energy: -48.40 eV per formula unit.

It has space group I4/mmm (No. 139), with a = 4.394 Å, b = 4.394 Å, c = 11.114 Å, α = 90.00°, β = 90.00° and γ = 90.00°. The asymmetric unit holds Sr at (0.000, 0.000, 0.000), Ta at (0.000, 0.500, 0.250) and Os at (0.000, 0.000, 0.379).

=====

10.
Here is a relaxed Sr2TaOs crystal from Alexandria via LeMat-Bulk. Energies are from PBE.

Its formation energy from the elements is 1.094 eV per atom. The energy above the most stable polymorph in this dataset is 834.1 meV per atom. As for the total energy: -22.07 eV per formula unit.

It has space group Pmmm (No. 47), with a = 2.979 Å, b = 5.354 Å, c = 5.758 Å, α = 90.00°, β = 90.00° and γ = 90.00°. The asymmetric unit holds Sr at (0.000, 0.000, 0.243), Ta at (0.500, 0.500, 0.500) and Os at (0.500, 0.500, 0.000).

=====

11.
Here is a relaxed SrTa2Os crystal from Alexandria via LeMat-Bulk. Energies are from PBE.

Its formation energy from the elements is 0.507 eV per atom. The energy above the most stable polymorph in this dataset is 159.1 meV per atom. As for the total energy: -34.59 eV per formula unit.

It has space group Immm (No. 71), with a = 3.077 Å, b = 5.267 Å, c = 10.611 Å, α = 90.00°, β = 90.00° and γ = 90.00°. The asymmetric unit holds Sr at (0.000, 0.000, 0.000), Ta at (0.000, 0.500, 0.202) and Os at (0.000, 0.000, 0.500).

=====

12.
Here is a relaxed SrTaOs2 crystal from Alexandria via LeMat-Bulk. Energies are from PBE.

Its formation energy from the elements is 0.472 eV per atom. As for the total energy: -34.11 eV per formula unit.

It has space group P2/m (No. 10), with a = 2.952 Å, b = 4.160 Å, c = 6.824 Å, α = 90.00°, β = 101.88° and γ = 90.00°. The asymmetric unit holds Sr at (0.000, 0.000, 0.000), Ta at (0.000, 0.000, 0.500) and Os at (0.396, 0.500, 0.680).

=====

13.
Here is a relaxed Sr3TaOs crystal from Alexandria via LeMat-Bulk. Energies are from PBE.

Its formation energy from the elements is 2.062 eV per atom. The energy above the most stable polymorph in this dataset is 672.3 meV per atom. As for the total energy: -17.82 eV per formula unit.

It has space group Pm-3m (No. 221), with a = 5.767 Å, b = 5.767 Å, c = 5.767 Å, α = 90.00°, β = 90.00° and γ = 90.00°. The asymmetric unit holds Sr at (0.000, 0.000, 0.500), Ta at (0.000, 0.000, 0.000) and Os at (0.500, 0.500, 0.500).

=====

14.
Here is a relaxed SrTa2Os crystal from Alexandria via LeMat-Bulk. Energies are from PBE.

Its formation energy from the elements is 0.696 eV per atom. The energy above the most stable polymorph in this dataset is 347.3 meV per atom. As for the total energy: -33.83 eV per formula unit.

It has space group R-3m (No. 166, hexagonal axes), with a = 3.1139 Å, b = 3.1139 Å, c = 29.9884 Å, α = 90.00°, β = 90.00° and γ = 120.00°. The asymmetric unit holds Sr at (0.0000, 0.0000, 0.0000), Ta at (0.0000, 0.0000, 0.2337) and Os at (0.0000, 0.0000, 0.5000).

=====

15.
Here is a relaxed SrTa2Os crystal from Alexandria via LeMat-Bulk. Energies are from PBE.

Its formation energy from the elements is 0.462 eV per atom. The energy above the most stable polymorph in this dataset is 113.8 meV per atom. As for the total energy: -34.77 eV per formula unit.

It has space group P2/m (No. 10), with a = 3.037 Å, b = 3.849 Å, c = 7.820 Å, α = 90.00°, β = 92.94° and γ = 90.00°. The asymmetric unit holds Sr at (0.000, 0.000, 0.000), Ta at (0.445, 0.500, 0.664) and Os at (0.000, 0.000, 0.500).

=====

16.
Here is a relaxed SrTa2Os crystal from Alexandria via LeMat-Bulk. Energies are from PBE.

Its formation energy from the elements is 0.454 eV per atom. The energy above the most stable polymorph in this dataset is 105.5 meV per atom. As for the total energy: -34.80 eV per formula unit.

It has space group P4/mmm (No. 123), with a = 3.034 Å, b = 3.034 Å, c = 9.379 Å, α = 90.00°, β = 90.00° and γ = 90.00°. The asymmetric unit holds Sr at (0.000, 0.000, 0.000), Ta at (0.500, 0.500, 0.317) and Os at (0.000, 0.000, 0.500).